LaSe2Br: optimized geometry, PBE.

Cell: 4.5448 4.5448 5.1113 Å, 90.00 90.00 102.05°
Last column: nearest neighbours and their distance in Å.
Atoms (fractional coordinates):
La: 0.0000 0.0000 0.0000  2 Br 2.86
Se: 0.0000 0.5000 0.5000  2 Se 2.86
Se: 0.5000 0.0000 0.5000  2 Se 2.86
Br: 0.5000 0.5000 0.0000  2 La 2.86

Results
The space-group type is No. 65. For the final energy, the calculation gives -18.1 eV/cell. The crystal system is orthorhombic. The value obtained for the uncorrected formation energy is -1128 meV/atom.